1.
Entry from Alexandria via LeMat-Bulk: crystalline GeSbTeN2 at its relaxed geometry (PBE).

extended XYZ file:
```
5
Lattice="4.1195 0.0000 0.0000 0.0000 4.1195 0.0000 0.0000 0.0000 6.2046" Properties=species:S:1:pos:R:3 pbc="T T T"
Ge 0.0000 0.0000 0.0000
Sb 2.0597 2.0597 3.1023
Te 2.0597 2.0597 0.0000
N 0.0000 2.0597 3.1023
N 2.0597 0.0000 3.1023
```

Computed properties:
SG: P4/mmm, No. 123
Electronic total energy: -22.3 eV for the cell shown
Excess energy over the best structure of this formula in the dataset: 0 meV per atom

---

2.
Entry from Alexandria via LeMat-Bulk: crystalline PmGd2Tm at its relaxed geometry (PBE).

extended XYZ file:
```
4
Lattice="1.7876 1.0321 11.6668 -1.7876 1.0321 11.6668 0.0000 -2.0641 11.6668" Properties=species:S:1:pos:R:3 pbc="T T T"
Pm 0.0000 0.0000 0.0000
Gd 0.0000 0.0000 8.6973
Gd 0.0000 0.0000 26.3031
Tm 0.0000 0.0000 17.5002
```

Computed properties:
SG: R-3m, No. 166
Formation energy from the elements: 0.03 eV per atom
Electronic total energy: -37.3 eV for the cell shown
Excess energy over the best structure of this formula in the dataset: 5 meV per atom

---

3.
Entry from Alexandria via LeMat-Bulk: crystalline Lu4Sn2C at its relaxed geometry (PBE).

extended XYZ file:
```
7
Lattice="-2.3391 2.3391 7.7860 2.3391 -2.3391 7.7860 2.3391 2.3391 -7.7860" Properties=species:S:1:pos:R:3 pbc="T T T"
Lu 2.3391 0.0000 0.0000
Lu 0.0000 0.0000 2.4499
Lu 0.0000 2.3391 0.0000
Lu 0.0000 0.0000 13.1221
Sn 0.0000 0.0000 5.5822
Sn 0.0000 0.0000 9.9898
C 0.0000 0.0000 0.0000
```

Computed properties:
SG: I4/mmm, No. 139
Formation energy from the elements: -0.69 eV per atom
Electronic total energy: -40.1 eV for the cell shown

---

4.
Entry from Alexandria via LeMat-Bulk: crystalline TcAg2P at its relaxed geometry (PBE).

extended XYZ file:
```
4
Lattice="2.5902 -4.6375 0.0000 2.5902 4.6375 0.0000 0.0000 0.0000 2.6920" Properties=species:S:1:pos:R:3 pbc="T T T"
Tc 0.0000 0.0000 0.0000
Ag 1.2951 2.3187 1.3460
Ag 1.2951 -2.3187 1.3460
P 2.5902 0.0000 0.0000
```

Computed properties:
SG: Cmmm, No. 65
Formation energy from the elements: 0.49 eV per atom
Electronic total energy: -19.5 eV for the cell shown

---

In states/eV/atom, the DOS at the Fermi energy values for the records above are, in order, 0.5986, 1.7421, 0.1084, 0.8171.
In μB/cell, the magnetic moment values for the records above are, in order, 1.2, 14.6, 0.0, 0.4.